TaB5: optimized geometry, GGA-PBE.

```
6
Lattice="-2.9706 -0.1719 0.6826 -0.1996 -4.6891 -2.0496 0.8765 0.9837 4.0626" Properties=species:S:1:pos:R:3 pbc="T T T"
B -1.0929 -0.7735 1.8759
B -1.5851 -2.4305 -0.6835
B -1.2007 -3.1039 0.8196
B 0.1093 -2.7109 -0.2070
B 0.5676 -0.9945 2.2200
Ta 0.0000 0.0000 0.0000
```

Results
ρ	7.30	g/cm³
calculated total energy	-7.17	eV per atom
energy of formation	365	meV/atom
density of states at the Fermi level	2.58	states/eV per cell

PrIn2Au: optimized geometry, GGA-PBE.

```
8
Lattice="4.6872 0.0000 -1.2999 -0.3605 4.6733 -1.2999 0.0225 0.0243 9.1815" Properties=species:S:1:pos:R:3 pbc="T T T"
In 2.7912 3.0148 0.9641
In 2.3436 0.0000 -0.6500
In -0.1803 2.3367 -0.6500
In 1.5580 1.6828 5.6176
Au 3.4365 1.1805 3.2908
Au 0.9127 3.5171 3.2908
Pr 0.5902 0.6375 2.1280
Pr 3.7590 4.0602 4.4537
```

Results
ρ	9.36	g/cm³
calculated total energy	-3.94	eV per atom
energy of formation	-560	meV/atom
density of states at the Fermi level	3.54	states/eV per cell

ZrSb2Se: optimized geometry, GGA-PBE.

```
4
Lattice="3.0321 0.1560 0.0000 -0.1757 3.0311 0.0000 0.0000 0.0000 11.6422" Properties=species:S:1:pos:R:3 pbc="T T T"
Sb 0.0000 0.0000 6.3751
Sb 0.0000 0.0000 11.0882
Se 1.4282 1.5935 2.9105
Zr 1.4282 1.5935 8.7316
```

Results
ρ	6.40	g/cm³
calculated total energy	-5.14	eV per atom
raw formation energy	-0.08	eV per atom
density of states at the Fermi level	1.54	states/eV per cell

GaNi2N: optimized geometry, GGA-PBE.

```
4
Lattice="-0.7910 -3.2935 -2.0180 -2.7719 0.0237 -2.8038 1.0319 -0.2827 -3.7948" Properties=species:S:1:pos:R:3 pbc="T T T"
N 0.0000 0.0000 0.0000
Ni -0.6327 -0.8881 -2.1541
Ni -1.8982 -2.6644 -6.4624
Ga -1.2655 -1.7763 -4.3082
```

Results
ρ	7.71	g/cm³
calculated total energy	-5.01	eV per atom
raw formation energy	0.72	eV per atom
ΔE to the lowest computed polymorph	2.346	eV/f.u.
density of states at the Fermi level	3.78	states/eV per cell

ZrInTc2: optimized geometry, GGA-PBE.

```
4
Lattice="3.0555 0.0000 0.0000 0.0000 4.0230 0.0000 0.0000 0.0000 5.8381" Properties=species:S:1:pos:R:3 pbc="T T T"
In 1.5278 2.0115 4.4592
Tc 1.5278 2.0115 1.3760
Tc 0.0000 0.0000 0.1698
Zr 0.0000 0.0000 2.7523
```

Results
ρ	9.30	g/cm³
calculated total energy	-7.99	eV per atom
energy of formation	17	meV/atom
ΔE to the lowest computed polymorph	0.499	eV/f.u.
density of states at the Fermi level	2.60	states/eV per cell

Zr2OsRu: optimized geometry, GGA-PBE.

```
4
Lattice="4.6072 0.0000 0.0000 2.3036 3.9900 0.0000 2.3036 1.3300 3.7618" Properties=species:S:1:pos:R:3 pbc="T T T"
Os 4.6072 2.6600 1.8809
Zr 0.0000 0.0000 0.0000
Zr 2.3036 1.3300 0.9404
Ru 6.9108 3.9900 2.8213
```

Results
ρ	11.38	g/cm³
calculated total energy	-9.49	eV per atom
energy of formation	-88	meV/atom
density of states at the Fermi level	4.58	states/eV per cell

HfAg3P: optimized geometry, GGA-PBE.

```
5
Lattice="5.1837 0.0000 0.0000 0.0000 5.1837 0.0000 0.0000 0.0000 5.1837" Properties=species:S:1:pos:R:3 pbc="T T T"
Hf 0.0000 0.0000 0.0000
Ag 2.5919 0.0000 0.0000
Ag 0.0000 0.0000 2.5919
Ag 0.0000 2.5919 0.0000
P 2.5919 2.5919 2.5919
```

Results
ρ	6.35	g/cm³
calculated total energy	-3.18	eV per atom
energy of formation	1599	meV/atom
ΔE to the lowest computed polymorph	4.702	eV/f.u.
density of states at the Fermi level	5.77	states/eV per cell

FeSiHgBiH: optimized geometry, GGA-PBE.

```
5
Lattice="-0.9567 2.8706 -0.3491 0.5813 -1.8287 -3.3469 -8.0363 -2.4544 2.0744" Properties=species:S:1:pos:R:3 pbc="T T T"
H -7.3113 -3.4064 -0.2253
Fe -0.2930 0.2481 -2.9322
Bi -2.2182 -0.1385 -0.8162
Si -7.4686 -1.6706 1.2023
Hg -4.9473 -0.8707 0.8736
```

Results
ρ	9.04	g/cm³
calculated total energy	-4.08	eV per atom
ΔE to the lowest computed polymorph	0.456	eV/f.u.
density of states at the Fermi level	2.47	states/eV per cell